No. 1
A plane-wave DFT calculation with GGA-PBE was carried out for an optimized crystal structure of CeHo8Sc4.

Output
SG: R-3m
M_tot: 0.00 μB per formula unit
Crystal system: trigonal
Uncorrected energy: -5.02 eV/atom
Calculated formation energy: 0.20 eV/atom

Geometry as extended XYZ:
```
13
Lattice="-2.313 -6.645 0.838 6.775 1.589 1.337 -2.743 5.640 7.197" Properties=species:S:1:pos:R:3 pbc="T T T"
Ce 2.016 3.614 4.267
Ho 3.069 -0.575 3.910
Ho -1.349 1.158 5.462
Ho -0.282 -1.256 2.921
Ho -2.739 -2.055 6.106
Ho 2.001 1.840 6.451
Ho 0.947 -1.191 6.833
Ho 0.773 1.774 2.539
Ho 4.458 2.638 3.266
Sc 0.000 0.000 0.000
Sc 3.387 0.794 0.668
Sc 2.231 -2.528 1.087
Sc -1.156 -3.322 0.419
```

***

No. 2
A plane-wave DFT calculation with GGA-PBE was carried out for an optimized crystal structure of V2CoNi6.

Output
SG: Cmmm
M_tot: 2.18 μB per formula unit
Crystal system: orthorhombic
Uncorrected energy: -6.68 eV/atom
Offset from the most stable computed form: 1.23 eV/f.u.
Calculated formation energy: -0.01 eV/atom

Geometry as extended XYZ:
```
9
Lattice="-1.587 -1.483 1.150 -2.073 -2.446 -6.015 5.390 -3.202 3.306" Properties=species:S:1:pos:R:3 pbc="T T T"
V -0.247 -3.574 -2.324
V 1.977 -3.556 0.765
Co 0.000 0.000 0.000
Ni 1.026 -1.865 -0.989
Ni 2.029 -3.702 3.275
Ni 0.703 -5.266 -0.570
Ni -1.458 -1.525 -1.352
Ni -0.299 -3.429 -4.834
Ni -2.203 -2.404 -3.513
```

***

No. 3
A plane-wave DFT calculation with GGA-PBE was carried out for an optimized crystal structure of BeRu3Pb.

Output
SG: Pm-3m
M_tot: 1.63 μB per formula unit
Crystal system: cubic
Uncorrected energy: -6.56 eV/atom
Offset from the most stable computed form: 0.00 eV/f.u.
Calculated formation energy: 0.50 eV/atom

Geometry as extended XYZ:
```
5
Lattice="-2.081 3.578 -0.916 -1.189 0.347 4.054 3.497 2.248 0.833" Properties=species:S:1:pos:R:3 pbc="T T T"
Pb 0.113 3.086 1.985
Ru -0.594 0.174 2.027
Ru 1.748 1.124 0.416
Ru -1.041 1.789 -0.458
Be 0.000 0.000 0.000
```

***

No. 4
A plane-wave DFT calculation with GGA-PBE was carried out for an optimized crystal structure of SrVI3.

Output
SG: Pm-3m
M_tot: 3.70 μB per formula unit
Crystal system: cubic
Uncorrected energy: -3.69 eV/atom
Offset from the most stable computed form: 0.00 eV/f.u.

Geometry as extended XYZ:
```
5
Lattice="5.656 0.000 0.000 0.000 5.656 0.000 0.000 0.000 5.656" Properties=species:S:1:pos:R:3 pbc="T T T"
I 0.000 2.828 0.000
I 0.000 0.000 2.828
I 2.828 0.000 0.000
Sr 2.828 2.828 2.828
V 0.000 0.000 0.000
```

***

No. 5
A plane-wave DFT calculation with GGA-PBE was carried out for an optimized crystal structure of TbTh2Sn9.

Output
SG: P4/mmm
M_tot: 0.00 μB per formula unit
Crystal system: tetragonal
Uncorrected energy: -5.07 eV/atom
Calculated formation energy: -0.44 eV/atom

Geometry as extended XYZ:
```
12
Lattice="-1.737 2.512 -3.629 -0.826 -4.016 -2.385 -12.982 -0.722 5.714" Properties=species:S:1:pos:R:3 pbc="T T T"
Tb 0.000 0.000 0.000
Th -4.331 -0.241 1.906
Th -8.651 -0.481 3.808
Sn -1.282 -0.752 -3.007
Sn -5.579 -0.991 -1.115
Sn -9.966 -1.235 0.816
Sn -2.995 1.138 -0.878
Sn -7.359 0.895 1.043
Sn -11.724 0.652 2.964
Sn -2.540 -2.126 -0.256
Sn -6.904 -2.369 1.665
Sn -11.268 -2.612 3.586
```

***

No. 6
A plane-wave DFT calculation with GGA-PBE was carried out for an optimized crystal structure of Sc6Ni5.

Output
SG: Immm
M_tot: 0.00 μB per formula unit
Crystal system: orthorhombic
Uncorrected energy: -6.51 eV/atom
Calculated formation energy: -0.43 eV/atom

Geometry as extended XYZ:
```
11
Lattice="4.262 0.004 -1.319 -0.726 5.794 -2.324 0.058 -0.301 7.730" Properties=species:S:1:pos:R:3 pbc="T T T"
Sc 1.586 4.354 -2.405
Sc 1.950 1.445 -1.238
Sc 3.541 0.286 3.898
Sc 3.175 3.211 2.724
Sc 0.053 5.212 0.190
Sc 0.419 2.287 1.363
Ni -0.363 2.897 -1.162
Ni 2.380 3.770 0.159
Ni 1.214 1.727 3.928
Ni 0.822 4.583 2.672
Ni 2.772 0.914 1.415
```

***

No. 7
A plane-wave DFT calculation with GGA-PBE was carried out for an optimized crystal structure of LiTbSmAg.

Output
SG: F-43m
M_tot: 0.00 μB per formula unit
Crystal system: cubic
Uncorrected energy: -3.61 eV/atom
Calculated formation energy: -0.08 eV/atom

Geometry as extended XYZ:
```
4
Lattice="-1.401 -0.987 4.943 -4.803 -1.789 1.050 -0.661 -4.939 1.595" Properties=species:S:1:pos:R:3 pbc="T T T"
Tb 0.000 0.000 0.000
Ag -1.716 -1.929 1.897
Sm -3.433 -3.857 3.794
Li -5.149 -5.786 5.692
```

***

No. 8
A plane-wave DFT calculation with GGA-PBE was carried out for an optimized crystal structure of Cs2Tl7Ag.

Output
SG: P-4m2
M_tot: 0.00 μB per formula unit
Crystal system: tetragonal
Uncorrected energy: -2.15 eV/atom
Calculated formation energy: -0.04 eV/atom

Geometry as extended XYZ:
```
10
Lattice="5.452 0.000 0.000 0.000 5.452 0.000 0.000 0.000 12.502" Properties=species:S:1:pos:R:3 pbc="T T T"
Cs 2.726 0.000 9.467
Cs 0.000 2.726 3.035
Tl 0.000 2.726 11.112
Tl 2.726 0.000 4.558
Tl 2.726 0.000 1.390
Tl 0.000 2.726 7.944
Tl 0.000 0.000 6.251
Tl 0.000 0.000 0.000
Tl 2.726 2.726 6.251
Ag 2.726 2.726 0.000
```

***

No. 9
A plane-wave DFT calculation with GGA-PBE was carried out for an optimized crystal structure of CdGa3Pt.

Output
SG: P6_3/mmc
M_tot: 0.00 μB per formula unit
Crystal system: hexagonal
Uncorrected energy: -3.36 eV/atom
Offset from the most stable computed form: 0.03 eV/f.u.
Calculated formation energy: -0.15 eV/atom

Geometry as extended XYZ:
```
10
Lattice="5.622 0.000 0.000 -0.001 6.419 -0.002 0.001 -3.211 5.559" Properties=species:S:1:pos:R:3 pbc="T T T"
Cd 4.216 3.210 1.853
Cd 1.406 -0.002 3.705
Ga 4.217 1.339 4.480
Ga 1.406 3.209 3.400
Ga 1.405 1.869 1.078
Ga 4.217 -0.001 2.158
Ga 1.405 4.551 1.077
Ga 4.218 -1.343 4.481
Pt 0.000 0.000 0.000
Pt 2.811 0.000 0.000
```

***

No. 10
A plane-wave DFT calculation with GGA-PBE was carried out for an optimized crystal structure of LiCa4Cl8.

Output
SG: F-43m
M_tot: 1.00 μB per formula unit
Crystal system: cubic
Uncorrected energy: -4.04 eV/atom

Geometry as extended XYZ:
```
13
Lattice="-4.804 -4.963 4.077 3.042 -6.534 3.520 0.491 -0.387 7.996" Properties=species:S:1:pos:R:3 pbc="T T T"
Li -0.953 -8.913 11.695
Ca -2.806 -6.906 7.883
Ca 0.991 -7.666 7.613
Ca -0.244 -4.691 9.780
Ca -0.482 -4.504 5.910
Cl -2.393 -3.893 3.981
Cl 1.237 -4.619 3.723
Cl 0.056 -1.775 5.795
Cl -0.171 -1.596 2.094
Cl 1.688 -4.910 7.704
Cl -2.375 -4.097 7.993
Cl -1.054 -7.280 5.674
Cl -0.800 -7.481 9.816
```

***

No. 11
A plane-wave DFT calculation with GGA-PBE was carried out for an optimized crystal structure of PaAs2Rh.

Output
SG: Pmmn
M_tot: 0.00 μB per formula unit
Crystal system: orthorhombic
Uncorrected energy: -7.20 eV/atom
Calculated formation energy: -0.67 eV/atom

Geometry as extended XYZ:
```
8
Lattice="-2.218 1.468 -2.771 3.099 -1.118 -3.073 -4.179 -8.459 -1.137" Properties=species:S:1:pos:R:3 pbc="T T T"
Pa -1.695 -0.452 -1.545
Pa -2.044 -7.831 -2.514
As 0.842 -1.990 -1.729
As -3.073 -3.241 -1.920
As -0.666 -5.043 -2.139
As -4.581 -6.294 -2.330
Rh -1.029 -2.800 -3.322
Rh -2.709 -5.484 -0.737
```

***

No. 12
A plane-wave DFT calculation with GGA-PBE was carried out for an optimized crystal structure of Li2NiAu.

Output
SG: P4mm
M_tot: 0.00 μB per formula unit
Crystal system: tetragonal
Uncorrected energy: -3.34 eV/atom
Calculated formation energy: -0.11 eV/atom

Geometry as extended XYZ:
```
4
Lattice="-1.605 1.917 1.893 -2.590 -0.491 -1.699 -1.366 -4.478 3.378" Properties=species:S:1:pos:R:3 pbc="T T T"
Au -3.117 -2.629 2.618
Li -1.362 -4.464 3.367
Li -2.461 -0.479 0.996
Ni -0.670 -2.197 1.657
```